Sm2TmGe4Pd4 | PBE | optimized geometry

Cell: 8.1852 8.1852 8.1852 Å, 149.91 128.76 60.57°
Closest atoms and distances in Å follow each position.
Fractional coordinates of all 11 atoms:
Ge 0.2160 0.2160 0.0000  6 Pd 2.62-2.63
Ge 0.3068 0.5000 0.8068  2 Pd 2.59, 1 Ge 2.73
Sm 0.3737 0.8737 0.5000  6 Ge 3.08-3.09, 6 Pd 3.08-3.14
Tm 0.0000 0.0000 0.0000  6 Ge 3.04-3.05
Pd 0.3745 0.6749 0.6996  4 Ge 2.59-2.63, 1 Pd 2.83
Pd 0.9754 0.6749 0.3004  4 Ge 2.59-2.63, 1 Pd 2.83
Pd 0.6255 0.3251 0.3004  4 Ge 2.59-2.63, 1 Pd 2.83
Ge 0.7840 0.7840 0.0000  6 Pd 2.62-2.63
Sm 0.6263 0.1263 0.5000  6 Ge 3.08-3.09, 6 Pd 3.08-3.14
Pd 0.0246 0.3251 0.6996  4 Ge 2.59-2.63, 1 Pd 2.83
Ge 0.6932 0.5000 0.1932  2 Pd 2.59, 1 Ge 2.73

## Properties
For the total energy, the calculation gives -5.69 eV per atom.